1.
TaAlGe (PBE, relaxed); uncorrected energy = -7.025 eV per atom; total magnetic moment = 0.0 μB per formula unit; crystal system = orthorhombic; space-group type = No. 43
1.0
0.000 4.490 4.289
2.543 0.000 4.289
2.543 4.490 0.000
Ta Al Ge
2 2 2
Cartesian
0.000 0.000 0.000 Ta
1.272 2.245 2.145 Ta
2.543 4.490 2.898 Al
3.815 6.735 5.043 Al
2.543 4.490 5.725 Ge
3.815 6.735 7.870 Ge

2.
Tb2AlGe3 (PBE, relaxed); uncorrected energy = -5.134 eV per atom; total magnetic moment = 0.0 μB per formula unit; crystal system = orthorhombic; space-group type = No. 62
1.0
6.812 0.000 0.000
0.000 4.226 0.000
0.000 0.000 17.757
Tb Al Ge
8 4 12
Cartesian
1.149 1.056 3.623 Tb
1.167 1.056 7.359 Tb
2.239 3.169 16.238 Tb
2.257 3.169 12.501 Tb
4.555 1.056 5.256 Tb
4.573 1.056 1.519 Tb
5.645 3.169 10.398 Tb
5.663 3.169 14.134 Tb
0.341 3.169 1.147 Al
3.066 1.056 10.026 Al
3.747 3.169 7.731 Al
6.472 1.056 16.610 Al
0.244 1.056 11.939 Ge
0.984 1.056 14.412 Ge
1.702 1.056 0.610 Ge
1.704 3.169 9.489 Ge
2.422 3.169 5.533 Ge
3.162 3.169 3.060 Ge
3.650 1.056 14.697 Ge
4.390 1.056 12.224 Ge
5.108 1.056 8.269 Ge
5.110 3.169 17.147 Ge
5.829 3.169 3.346 Ge
6.569 3.169 5.819 Ge

3.
TbYAl3Ge2 (PBE, relaxed); uncorrected energy = -5.057 eV per atom; total magnetic moment = 0.0 μB per formula unit; crystal system = monoclinic; space-group type = No. 8
1.0
5.157 -2.042 0.000
5.157 2.042 0.000
-1.195 0.000 6.662
Tb Y Al Ge
1 1 3 2
Cartesian
0.000 0.000 0.000 Tb
7.466 0.000 2.447 Y
0.161 0.000 3.726 Al
3.139 0.000 4.552 Al
6.109 0.000 5.378 Al
2.878 0.000 0.274 Ge
4.588 0.000 2.168 Ge

4.
AlTc2Ge2 (PBE, relaxed); energy above the most stable polymorph in this dataset = 0.230 eV per atom; uncorrected energy = -6.511 eV per atom; total magnetic moment = 0.1 μB per formula unit; crystal system = tetragonal; space-group type = No. 139
1.0
-2.138 2.138 4.769
2.138 -2.138 4.769
2.138 2.138 -4.769
Al Tc Ge
1 2 2
Cartesian
0.000 0.000 0.000 Al
2.138 0.000 2.385 Tc
0.000 2.138 2.385 Tc
0.000 0.000 3.598 Ge
0.000 0.000 5.941 Ge

5.
Al2TcGe (PBE, relaxed); uncorrected energy = -5.477 eV per atom; total magnetic moment = 0.0 μB per formula unit; crystal system = cubic; space-group type = No. 216
1.0
0.000 3.122 3.122
3.122 0.000 3.122
3.122 3.122 0.000
Al Tc Ge
2 1 1
Cartesian
0.000 0.000 0.000 Al
1.561 1.561 1.561 Al
3.122 3.122 3.122 Tc
4.683 4.683 4.683 Ge

6.
AlTc2Ge2 (PBE, relaxed); energy above the most stable polymorph in this dataset = 0.000 eV per atom; uncorrected energy = -6.741 eV per atom; total magnetic moment = 0.0 μB per formula unit; crystal system = tetragonal; space-group type = No. 139
1.0
-1.749 1.749 6.473
1.749 -1.749 6.473
1.749 1.749 -6.473
Al Tc Ge
1 2 2
Cartesian
0.000 0.000 0.000 Al
0.000 0.000 5.112 Tc
0.000 0.000 7.834 Tc
1.749 0.000 3.237 Ge
0.000 1.749 3.237 Ge

7.
Al2TcGe2 (PBE, relaxed); energy above the most stable polymorph in this dataset = 0.101 eV per atom; uncorrected energy = -4.915 eV per atom; total magnetic moment = 0.8 μB per formula unit; crystal system = tetragonal; space-group type = No. 139
1.0
-1.813 1.813 6.254
1.813 -1.813 6.254
1.813 1.813 -6.254
Al Tc Ge
2 1 2
Cartesian
1.813 0.000 3.127 Al
0.000 1.813 3.127 Al
0.000 0.000 0.000 Tc
0.000 0.000 5.028 Ge
0.000 0.000 7.481 Ge

8.
Al2TcGe2 (PBE, relaxed); energy above the most stable polymorph in this dataset = 0.000 eV per atom; uncorrected energy = -5.016 eV per atom; total magnetic moment = 0.0 μB per formula unit; crystal system = tetragonal; space-group type = No. 139
1.0
-1.782 1.782 6.403
1.782 -1.782 6.403
1.782 1.782 -6.403
Al Tc Ge
2 1 2
Cartesian
0.000 0.000 1.203 Al
0.000 0.000 11.603 Al
0.000 0.000 6.403 Tc
1.782 0.000 3.201 Ge
0.000 1.782 3.201 Ge

Which of these has the highest total magnetic moment? number 7

total magnetic moment of number 3 (TbYAl3Ge2)? 0.0 μB per formula unit

The highest total magnetic moment belongs to which entry? number 7